A relaxed structure of MnAl2Ni6. Source: Alexandria, functional GGA-PBE.

Lattice parameters (Å, degrees): 2.5925 6.7887 7.2189 118.05 100.32 90.00
Last column: nearest neighbours and their distance in Å.
Fractional coordinates of all 9 atoms:
Mn: 0.0000 0.0000 0.0000  8 Ni 2.45-2.47, 2 Mn 2.59
Al: 0.6737 0.6685 0.3371  8 Ni 2.44-2.47, 2 Al 2.59
Al: 0.3263 0.3315 0.6629  8 Ni 2.44-2.47, 2 Al 2.59
Ni: 0.1682 0.3606 0.3312  3 Al 2.44-2.46, 1 Mn 2.45, 7 Ni 2.56-2.65
Ni: 0.8318 0.0294 0.6688  3 Al 2.44-2.46, 1 Mn 2.45, 7 Ni 2.56-2.65
Ni: 0.8318 0.6394 0.6688  3 Al 2.44-2.46, 1 Mn 2.45, 7 Ni 2.56-2.65
Ni: 0.5000 0.3089 0.0000  2 Mn 2.47, 2 Al 2.47, 7 Ni 2.56-2.59
Ni: 0.1682 0.9706 0.3312  3 Al 2.44-2.46, 1 Mn 2.45, 7 Ni 2.56-2.65
Ni: 0.5000 0.6911 0.0000  2 Mn 2.47, 2 Al 2.47, 7 Ni 2.56-2.59

Computed properties:
Space group: C2/m, No. 12
Energy of formation (kJ/mol of formula units): -122